one.
Below is crystalline Pm8Sm2Dy at its relaxed geometry, with properties calculated at the PBE level.

As for the calculated density: 7.2 Mg/m³. As for the crystal system: monoclinic. The density of states at the Fermi level is 1.505 states/eV/atom.

The structure belongs to space group C2/m (No. 12); the cell edges are 18.5160, 5.1424 and 8.1358 Å and the angles 90.00°, 105.28° and 90.00°. The distinct sites, in fractional coordinates, are Pm at (0.0455, 0.0000, 0.2284), Pm at (0.0907, 0.5000, 0.9529), Pm at (0.1361, 0.0000, 0.6814), Pm at (0.1815, 0.5000, 0.4095), Sm at (0.2268, 0.0000, 0.1359) and Dy at (0.0000, 0.5000, 0.5000).

two.
Below is crystalline Pm8Sm2Dy at its relaxed geometry, with properties calculated at the PBE level.

As for the calculated density: 7.1 Mg/m³. As for the crystal system: monoclinic. The density of states at the Fermi level is 1.628 states/eV/atom.

The structure belongs to space group C2/m (No. 12); the cell edges are 16.7955, 6.8120 and 6.7651 Å and the angles 90.00°, 100.51° and 90.00°. The distinct sites, in fractional coordinates, are Pm at (0.0873, 0.2374, 0.4045), Pm at (0.0911, 0.0000, 0.9119), Pm at (0.2440, 0.5000, 0.3143), Sm at (0.1975, 0.5000, 0.8047) and Dy at (0.0000, 0.5000, 0.0000).

Computed stability ranking, most favorable first: one, two